(1)
Below is crystalline DyEr4Co2 at its relaxed geometry, with properties calculated at the GGA-PBE level.

Properties
Total magnetization ... 0.00 μB/f.u.
Calculated volume ... 337.86 Å³ per cell
Energy of formation ... -0.08 eV per atom

abc: 7.5215 6.2834 7.7814
angles: 90.00 113.26 90.00
Last column: nearest neighbours and their distance in Å.
Fractional positions:
Dy  0.0258  0.2500  0.1676  1 Co 2.68
Dy  0.9742  0.7500  0.8324  1 Co 2.68
Er  0.2426  0.5018  0.5866  4 Co 2.86-2.96, 2 Er 3.12-3.16
Er  0.2426  0.9982  0.5866  4 Co 2.86-2.96, 2 Er 3.12-3.16
Er  0.3251  0.7500  0.2510  2 Co 2.62-2.83
Er  0.3747  0.2500  0.0171  2 Co 2.66-2.76
Er  0.6253  0.7500  0.9829  2 Co 2.66-2.76
Er  0.6749  0.2500  0.7490  2 Co 2.62-2.83
Er  0.7574  0.0018  0.4134  4 Co 2.86-2.96, 2 Er 3.12-3.16
Er  0.7574  0.4982  0.4134  4 Co 2.86-2.96, 2 Er 3.12-3.16
Co  0.0136  0.2500  0.7272  6 Er 2.62-2.90
Co  0.4083  0.2500  0.3708  6 Er 2.66-2.96, 1 Dy 2.68
Co  0.5917  0.7500  0.6292  6 Er 2.66-2.96, 1 Dy 2.68
Co  0.9864  0.7500  0.2728  6 Er 2.62-2.90

=====

(2)
Below is crystalline DyErCo at its relaxed geometry, with properties calculated at the GGA-PBE level.

Properties
Total magnetization ... 0.00 μB/f.u.
Calculated volume ... 78.68 Å³ per cell
Energy of formation ... -0.06 eV per atom

abc: 3.8367 3.8367 6.1717
angles: 90.00 90.00 120.00
Last column: nearest neighbours and their distance in Å.
Fractional positions:
Dy  0.0000  0.0000  0.0000  3 Co 2.64
Er  0.3333  0.6667  0.4650  3 Co 2.63
Co  0.6667  0.3333  0.2341  3 Er 2.63, 3 Dy 2.64

=====

(3)
Below is crystalline Dy3ErCo at its relaxed geometry, with properties calculated at the GGA-PBE level.

Properties
Total magnetization ... 0.00 μB/f.u.
Calculated volume ... 532.95 Å³ per cell
Energy of formation ... -0.02 eV per atom

abc: 7.7402 7.2279 9.9820
angles: 90.00 107.38 90.00
Last column: nearest neighbours and their distance in Å.
Fractional positions:
Dy  0.0815  0.2053  0.0303  1 Co 2.78
Dy  0.0815  0.2947  0.5303  1 Co 2.78
Dy  0.2883  0.0083  0.3809  2 Co 2.68-2.83
Dy  0.2883  0.4917  0.8809  2 Co 2.68-2.83
Dy  0.4150  0.6276  0.6071  3 Co 2.78-2.84
Dy  0.4150  0.8724  0.1071  3 Co 2.78-2.84
Dy  0.5850  0.1276  0.8929  3 Co 2.78-2.84
Dy  0.5850  0.3724  0.3929  3 Co 2.78-2.84
Dy  0.7117  0.5083  0.1191  2 Co 2.68-2.83
Dy  0.7117  0.9917  0.6191  2 Co 2.68-2.83
Dy  0.9185  0.7053  0.4697  1 Co 2.78
Dy  0.9185  0.7947  0.9697  1 Co 2.78
Er  0.1897  0.5543  0.2574  1 Co 3.04, 2 Dy 3.23-3.33
Er  0.1897  0.9457  0.7574  1 Co 3.04, 2 Dy 3.23-3.33
Er  0.8103  0.0543  0.2426  1 Co 3.04, 2 Dy 3.23-3.33
Er  0.8103  0.4457  0.7426  1 Co 3.04, 2 Dy 3.23-3.33
Co  0.4548  0.2453  0.6088  6 Dy 2.68-2.84
Co  0.4548  0.2547  0.1088  6 Dy 2.68-2.84
Co  0.5452  0.7453  0.8912  6 Dy 2.68-2.84
Co  0.5452  0.7547  0.3912  6 Dy 2.68-2.84

=====

(4)
Below is crystalline Dy3ErCo2 at its relaxed geometry, with properties calculated at the GGA-PBE level.

Properties
Total magnetization ... 0.00 μB/f.u.
Calculated volume ... 291.48 Å³ per cell
Energy of formation ... -0.16 eV per atom

abc: 8.3852 8.3852 11.4834
angles: 122.93 122.93 25.78
Last column: nearest neighbours and their distance in Å.
Fractional positions:
Dy  0.0839  0.0839  0.4389  3 Co 2.75-2.92
Dy  0.0836  0.0836  0.9419  3 Co 2.76-2.93
Dy  0.3402  0.3402  0.2534  3 Co 2.74-2.97
Dy  0.6598  0.6598  0.7466  3 Co 2.74-2.97
Dy  0.9164  0.9164  0.0581  3 Co 2.76-2.93
Dy  0.9161  0.9161  0.5611  3 Co 2.75-2.92
Er  0.3398  0.3398  0.7524  3 Co 2.74-2.95
Er  0.6602  0.6602  0.2476  3 Co 2.74-2.95
Co  0.2675  0.2675  0.4525  2 Co 2.39
Co  0.2667  0.2667  0.9514  2 Co 2.39
Co  0.7333  0.7333  0.0486  2 Co 2.39
Co  0.7325  0.7325  0.5475  2 Co 2.39

=====

(5)
Below is crystalline DyErCo at its relaxed geometry, with properties calculated at the GGA-PBE level.

Properties
Total magnetization ... 0.00 μB/f.u.
Calculated volume ... 71.66 Å³ per cell
Energy of formation ... -0.07 eV per atom

abc: 4.6623 4.6623 4.6623
angles: 60.00 60.00 60.00
Last column: nearest neighbours and their distance in Å.
Fractional positions:
Dy  0.0000  0.0000  0.0000  4 Co 2.86
Er  0.5000  0.5000  0.5000  4 Co 2.86
Co  0.7500  0.7500  0.7500  4 Er 2.86, 4 Dy 2.86

=====

(6)
Below is crystalline Dy4ErCo2 at its relaxed geometry, with properties calculated at the GGA-PBE level.

Properties
Total magnetization ... 0.00 μB/f.u.
Calculated volume ... 342.19 Å³ per cell
Energy of formation ... -0.05 eV per atom

abc: 7.6352 6.3232 7.6960
angles: 90.00 112.93 90.00
Last column: nearest neighbours and their distance in Å.
Fractional positions:
Dy  0.1247  0.2500  0.4795  2 Co 2.62-2.78
Dy  0.1738  0.7500  0.2512  2 Co 2.63-2.83
Dy  0.2599  0.5023  0.9119  4 Co 2.90-3.03, 2 Dy 3.13-3.19
Dy  0.2599  0.9977  0.9119  4 Co 2.90-3.03, 2 Dy 3.13-3.19
Dy  0.7401  0.0023  0.0881  4 Co 2.90-3.03, 2 Dy 3.13-3.19
Dy  0.7401  0.4977  0.0881  4 Co 2.90-3.03, 2 Dy 3.13-3.19
Dy  0.8262  0.2500  0.7488  2 Co 2.63-2.83
Dy  0.8753  0.7500  0.5205  2 Co 2.62-2.78
Er  0.4714  0.2500  0.3361  1 Co 2.71
Er  0.5286  0.7500  0.6639  1 Co 2.71
Co  0.0927  0.2500  0.1277  4 Dy 2.62-2.93, 1 Er 2.71
Co  0.4877  0.2500  0.7642  6 Dy 2.63-2.94
Co  0.5123  0.7500  0.2358  6 Dy 2.63-2.94
Co  0.9073  0.7500  0.8723  4 Dy 2.62-2.93, 1 Er 2.71

=====

(7)
Below is crystalline DyEr4Co at its relaxed geometry, with properties calculated at the GGA-PBE level.

Properties
Total magnetization ... 0.00 μB/f.u.
Calculated volume ... 329.97 Å³ per cell
Energy of formation ... -0.05 eV per atom

abc: 9.1795 9.1795 9.1795
angles: 143.59 133.45 60.50
Last column: nearest neighbours and their distance in Å.
Fractional positions:
Dy  0.1970  0.1970  0.0000  12 Er 3.45-3.65
Dy  0.8030  0.8030  0.0000  12 Er 3.45-3.65
Er  0.1282  0.3813  0.7470  2 Co 2.87
Er  0.2257  0.0000  0.2257  2 Co 2.64
Er  0.3272  0.8272  0.5000  2 Co 3.24, 6 Er 3.39-3.51, 2 Dy 3.53
Er  0.3657  0.6187  0.7470  2 Co 2.87
Er  0.6343  0.3813  0.2530  2 Co 2.87
Er  0.6728  0.1728  0.5000  2 Co 3.24, 6 Er 3.39-3.51, 2 Dy 3.53
Er  0.7743  0.0000  0.7743  2 Co 2.64
Er  0.8718  0.6187  0.2530  2 Co 2.87
Co  0.5000  0.3015  0.8015  1 Co 2.28
Co  0.5000  0.6985  0.1985  1 Co 2.28

=====

(8)
Below is crystalline Dy2Er6Co at its relaxed geometry, with properties calculated at the GGA-PBE level.

Properties
Total magnetization ... 0.00 μB/f.u.
Calculated volume ... 273.31 Å³ per cell
Energy of formation ... 0.17 eV per atom

abc: 9.5803 9.5803 3.5702
angles: 90.00 90.00 123.48
Last column: nearest neighbours and their distance in Å.
Fractional positions:
Dy  0.1696  0.8304  0.0000  10 Er 3.50-3.91, 2 Dy 3.57
Dy  0.8304  0.1696  0.0000  10 Er 3.50-3.91, 2 Dy 3.57
Er  0.1665  0.4979  0.5000  4 Er 3.04-3.34, 1 Co 3.18
Er  0.2930  0.2930  0.0000  2 Co 2.59
Er  0.4979  0.1665  0.5000  4 Er 3.04-3.34, 1 Co 3.18
Er  0.5021  0.8335  0.5000  4 Er 3.04-3.34, 1 Co 3.18
Er  0.7070  0.7070  0.0000  2 Co 2.59
Er  0.8335  0.5021  0.5000  4 Er 3.04-3.34, 1 Co 3.18
Co  0.5000  0.5000  0.5000  4 Er 2.59

=====

Copy entry 8 word for word.
Below is crystalline Dy2Er6Co at its relaxed geometry, with properties calculated at the GGA-PBE level.

Properties
Total magnetization ... 0.00 μB/f.u.
Calculated volume ... 273.31 Å³ per cell
Energy of formation ... 0.17 eV per atom

abc: 9.5803 9.5803 3.5702
angles: 90.00 90.00 123.48
Last column: nearest neighbours and their distance in Å.
Fractional positions:
Dy  0.1696  0.8304  0.0000  10 Er 3.50-3.91, 2 Dy 3.57
Dy  0.8304  0.1696  0.0000  10 Er 3.50-3.91, 2 Dy 3.57
Er  0.1665  0.4979  0.5000  4 Er 3.04-3.34, 1 Co 3.18
Er  0.2930  0.2930  0.0000  2 Co 2.59
Er  0.4979  0.1665  0.5000  4 Er 3.04-3.34, 1 Co 3.18
Er  0.5021  0.8335  0.5000  4 Er 3.04-3.34, 1 Co 3.18
Er  0.7070  0.7070  0.0000  2 Co 2.59
Er  0.8335  0.5021  0.5000  4 Er 3.04-3.34, 1 Co 3.18
Co  0.5000  0.5000  0.5000  4 Er 2.59

=====

The lowest calculated volume belongs to which entry?
number 5

=====

total magnetization of number 4 (Dy3ErCo2)?
0.00 μB/f.u.